Zr3IrC after structural relaxation, computed with PBE.

The structure belongs to space group Pm-3m (No. 221); the cell edges are 4.480, 4.480 and 4.480 Å and the angles 90.00°, 90.00° and 90.00°. Symmetry generates all atoms from Zr at (0.000, 0.000, 0.500), Ir at (0.500, 0.500, 0.500) and C at (0.000, 0.000, 0.000).

The value obtained for the energy above the most stable polymorph in this dataset is 0.254 eV/atom. The energy of formation from the pure elements comes out at -461 meV per atom. The calculation puts the spin magnetization at 0.00 μB/f.u.